# CaTm3Tl4, relaxed, DFT GGA-PBE
data_CaTm3Tl4
_chemical_formula_sum 'Ca1 Tm3 Tl4'
_cell_length_a 3.790
_cell_length_b 3.790
_cell_length_c 15.079
_cell_angle_alpha 90.00
_cell_angle_beta 90.00
_cell_angle_gamma 90.00
_symmetry_space_group_name_H-M 'P 4/m m m'
_symmetry_Int_Tables_number 123
_symmetry_space_group_name_Hall '-P 4 2'
loop_
_atom_site_label
_atom_site_fract_x
_atom_site_fract_y
_atom_site_fract_z
Ca1 0.000 0.000 0.000
Tm1 0.000 0.000 0.255
Tm2 0.000 0.000 0.500
Tl1 0.500 0.500 0.133
Tl2 0.500 0.500 0.379
# - Energy: -3.4461 eV per atom
# - Total magnetization: 0.00 μB/f.u.
# - Calculated formation energy: -0.34 eV per atom